Record 1
K2ZrCd | the Alexandria database | meta-GGA SCAN | single point on PBEsol structure; formation energy from the elements = 0.33 eV/atom; space group = Pm
1.0
3.5297 0.0000 0.0000
0.0000 3.5262 0.0000
-0.0339 0.0000 11.4105
K Zr Cd
2 1 1
direct
0.0000 0.0000 0.0000 K
0.4939 0.5000 0.3626 K
0.9966 0.0000 0.6365 Zr
0.4977 0.5000 0.7714 Cd

---

Record 2
KZrCd2 | the Alexandria database | meta-GGA SCAN | single point on PBEsol structure; formation energy from the elements = 0.33 eV/atom; polymorph energy (0 for the lowest one) = 0.1107 eV per atom; space group = Fm-3m
1.0
7.3500 0.0000 0.0000
0.0000 7.3500 0.0000
0.0000 0.0000 7.3500
K Zr Cd
4 4 8
direct
0.0000 0.0000 0.0000 K
0.0000 0.5000 0.5000 K
0.5000 0.0000 0.5000 K
0.5000 0.5000 0.0000 K
0.0000 0.0000 0.5000 Zr
0.0000 0.5000 0.0000 Zr
0.5000 0.0000 0.0000 Zr
0.5000 0.5000 0.5000 Zr
0.2500 0.2500 0.2500 Cd
0.2500 0.2500 0.7500 Cd
0.2500 0.7500 0.2500 Cd
0.2500 0.7500 0.7500 Cd
0.7500 0.2500 0.2500 Cd
0.7500 0.2500 0.7500 Cd
0.7500 0.7500 0.2500 Cd
0.7500 0.7500 0.7500 Cd

---

Record 3
La3Cd | the Alexandria database | meta-GGA SCAN | single point on PBEsol structure; formation energy from the elements = -0.19 eV/atom; space group = Pmmn
1.0
5.5303 0.0000 0.0000
0.0000 7.0737 0.0000
0.0000 0.0000 6.1445
La Cd
6 2
direct
0.2500 0.0016 0.1824 La
0.2500 0.4984 0.1824 La
0.2500 0.7500 0.6266 La
0.7500 0.2500 0.3734 La
0.7500 0.5016 0.8176 La
0.7500 0.9984 0.8176 La
0.2500 0.2500 0.6886 Cd
0.7500 0.7500 0.3114 Cd

---

Record 4
LaCd | the Alexandria database | meta-GGA SCAN | single point on PBEsol structure; formation energy from the elements = -0.19 eV/atom; space group = P4/nmm
1.0
3.5309 0.0000 0.0000
0.0000 3.5309 0.0000
0.0000 0.0000 8.9552
La Cd
2 2
direct
0.2500 0.2500 0.1577 La
0.7500 0.7500 0.8423 La
0.2500 0.2500 0.5921 Cd
0.7500 0.7500 0.4079 Cd

---

Record 5
LaCd | the Alexandria database | meta-GGA SCAN | single point on PBEsol structure; formation energy from the elements = -0.39 eV/atom; space group = P4/nmm
1.0
4.8772 0.0000 0.0000
0.0000 4.8772 0.0000
0.0000 0.0000 4.6512
La Cd
2 2
direct
0.2500 0.2500 0.0268 La
0.7500 0.7500 0.9732 La
0.2500 0.7500 0.5000 Cd
0.7500 0.2500 0.5000 Cd

---

Record 6
LaCd2 | the Alexandria database | meta-GGA SCAN | single point on PBEsol structure; formation energy from the elements = -0.37 eV/atom; space group = P6_3/mmc
1.0
5.2776 0.0000 0.0000
-2.6388 4.5705 0.0000
0.0000 0.0000 6.5581
La Cd
2 4
direct
0.3333 0.6667 0.2500 La
0.6667 0.3333 0.7500 La
0.0000 0.0000 0.0000 Cd
0.0000 0.0000 0.5000 Cd
0.3333 0.6667 0.7500 Cd
0.6667 0.3333 0.2500 Cd

---

Record 7
LaCd | the Alexandria database | meta-GGA SCAN | single point on PBEsol structure; formation energy from the elements = -0.09 eV/atom; space group = Fm-3m
1.0
6.4464 0.0000 0.0000
0.0000 6.4464 0.0000
0.0000 0.0000 6.4464
La Cd
4 4
direct
0.0000 0.0000 0.0000 La
0.0000 0.5000 0.5000 La
0.5000 0.0000 0.5000 La
0.5000 0.5000 0.0000 La
0.0000 0.0000 0.5000 Cd
0.0000 0.5000 0.0000 Cd
0.5000 0.0000 0.0000 Cd
0.5000 0.5000 0.5000 Cd

---

Record 8
La5Cd | the Alexandria database | meta-GGA SCAN | single point on PBEsol structure; formation energy from the elements = -0.10 eV/atom; polymorph energy (0 for the lowest one) = 0.0367 eV per atom; space group = Cmmm
1.0
4.9294 0.0000 0.0000
0.0000 14.9637 0.0000
0.0000 0.0000 5.0520
La Cd
10 2
direct
0.0000 0.0000 0.0000 La
0.0000 0.1713 0.5000 La
0.0000 0.3398 0.0000 La
0.0000 0.6602 0.0000 La
0.0000 0.8287 0.5000 La
0.5000 0.1602 0.0000 La
0.5000 0.3287 0.5000 La
0.5000 0.5000 0.0000 La
0.5000 0.6713 0.5000 La
0.5000 0.8398 0.0000 La
0.0000 0.5000 0.5000 Cd
0.5000 0.0000 0.5000 Cd

---

Record 9
La2Cd | the Alexandria database | meta-GGA SCAN | single point on PBEsol structure; formation energy from the elements = -0.23 eV/atom; space group = C2/m
1.0
12.1969 0.0000 0.0000
0.0000 3.7888 0.0000
-2.8134 0.0000 7.7200
La Cd
8 4
direct
0.0127 0.0000 0.2231 La
0.1624 0.5000 0.6050 La
0.3376 0.0000 0.3950 La
0.4873 0.5000 0.7769 La
0.5127 0.5000 0.2231 La
0.6624 0.0000 0.6050 La
0.8376 0.5000 0.3950 La
0.9873 0.0000 0.7769 La
0.1849 0.5000 0.0677 Cd
0.3151 0.0000 0.9323 Cd
0.6849 0.0000 0.0677 Cd
0.8151 0.5000 0.9323 Cd

---

Record 10
LaCd2 | the Alexandria database | meta-GGA SCAN | single point on PBEsol structure; formation energy from the elements = -0.47 eV/atom; space group = P6/mmm
1.0
5.0566 0.0000 0.0000
-2.5283 4.3791 0.0000
0.0000 0.0000 3.4136
La Cd
1 2
direct
0.0000 0.0000 0.0000 La
0.3333 0.6667 0.5000 Cd
0.6667 0.3333 0.5000 Cd

---

Record 11
LaCd22 | the Alexandria database | meta-GGA SCAN | single point on PBEsol structure; formation energy from the elements = -0.07 eV/atom; space group = Fd-3m
1.0
0.0000 7.9234 7.9234
7.9234 0.0000 7.9234
7.9234 7.9234 0.0000
La Cd
2 44
direct
0.1250 0.1250 0.1250 La
0.8750 0.8750 0.8750 La
0.0000 0.0000 0.0000 Cd
0.0000 0.0000 0.5000 Cd
0.0000 0.5000 0.0000 Cd
0.0000 0.5000 0.5000 Cd
0.0578 0.3196 0.3196 Cd
0.0578 0.3196 0.8030 Cd
0.0578 0.8030 0.3196 Cd
0.1970 0.6804 0.6804 Cd
0.1970 0.6804 0.9422 Cd
0.1970 0.9422 0.6804 Cd
0.2348 0.2348 0.5152 Cd
0.2348 0.5152 0.2348 Cd
0.2348 0.5152 0.5152 Cd
0.3196 0.0578 0.3196 Cd
0.3196 0.0578 0.8030 Cd
0.3196 0.3196 0.0578 Cd
0.3196 0.3196 0.8030 Cd
0.3196 0.8030 0.0578 Cd
0.3196 0.8030 0.3196 Cd
0.4848 0.4848 0.7652 Cd
0.4848 0.7652 0.4848 Cd
0.4848 0.7652 0.7652 Cd
0.5000 0.0000 0.0000 Cd
0.5000 0.0000 0.5000 Cd
0.5000 0.5000 0.0000 Cd
0.5000 0.5000 0.5000 Cd
0.5152 0.2348 0.2348 Cd
0.5152 0.2348 0.5152 Cd
0.5152 0.5152 0.2348 Cd
0.6804 0.1970 0.6804 Cd
0.6804 0.1970 0.9422 Cd
0.6804 0.6804 0.1970 Cd
0.6804 0.6804 0.9422 Cd
0.6804 0.9422 0.1970 Cd
0.6804 0.9422 0.6804 Cd
0.7652 0.4848 0.4848 Cd
0.7652 0.4848 0.7652 Cd
0.7652 0.7652 0.4848 Cd
0.8030 0.0578 0.3196 Cd
0.8030 0.3196 0.0578 Cd
0.8030 0.3196 0.3196 Cd
0.9422 0.1970 0.6804 Cd
0.9422 0.6804 0.1970 Cd
0.9422 0.6804 0.6804 Cd

---

Record 12
La2Cd | the Alexandria database | meta-GGA SCAN | single point on PBEsol structure; formation energy from the elements = -0.07 eV/atom; space group = P4/mmm
1.0
5.5066 0.0000 0.0000
0.0000 5.5066 0.0000
0.0000 0.0000 3.4446
La Cd
2 1
direct
0.0000 0.5000 0.0000 La
0.5000 0.0000 0.0000 La
0.0000 0.0000 0.5000 Cd